1.
The following is a DFT calculation (PBE with a Hubbard U) of crystalline Rb3CaV2F9 at its relaxed geometry.

abc: 6.145 6.145 7.537
angles: 90.00 90.00 120.00
Element x y z (fractional)
Rb 0.000 0.000 0.000
Rb 0.333 0.667 0.673
Rb 0.667 0.333 0.327
Ca 0.000 0.000 0.500
V 0.333 0.667 0.161
V 0.667 0.333 0.839
F 0.000 0.500 0.000
F 0.172 0.343 0.325
F 0.172 0.828 0.325
F 0.343 0.172 0.675
F 0.500 0.000 0.000
F 0.500 0.500 0.000
F 0.657 0.828 0.325
F 0.828 0.172 0.675
F 0.828 0.657 0.675

V: 16.43 Å³/atom
N(E_F): 0.0 states/eV/f.u.
Raw total energy: -5.4416 eV per atom
Spin magnetization: 0.400 μB/atom



2.
The following is a DFT calculation (PBE with a Hubbard U) of crystalline RbCaVF6 at its relaxed geometry.

abc: 7.461 7.461 7.461
angles: 118.84 118.54 92.29
Element x y z (fractional)
Rb 0.354 0.104 0.250
Rb 0.646 0.896 0.750
Ca 0.000 0.500 0.500
Ca 0.500 0.500 0.000
V 0.000 0.000 0.500
V 0.000 0.500 0.000
F 0.049 0.344 0.156
F 0.049 0.893 0.705
F 0.066 0.316 0.750
F 0.312 0.107 0.656
F 0.312 0.656 0.205
F 0.360 0.610 0.750
F 0.640 0.390 0.250
F 0.688 0.344 0.795
F 0.688 0.893 0.344
F 0.934 0.684 0.250
F 0.951 0.107 0.295
F 0.951 0.656 0.844

V: 16.63 Å³/atom
N(E_F): 0.0 states/eV/f.u.
Raw total energy: -5.6435 eV per atom
Spin magnetization: 0.222 μB/atom



3.
The following is a DFT calculation (PBE with a Hubbard U) of crystalline Rb2CaV3F12 at its relaxed geometry.

abc: 7.562 7.562 7.562
angles: 60.67 60.67 60.67
Element x y z (fractional)
Rb 0.126 0.126 0.126
Rb 0.874 0.874 0.874
Ca 0.500 0.500 0.500
V 0.000 0.500 0.500
V 0.500 0.000 0.500
V 0.500 0.500 0.000
F 0.137 0.593 0.593
F 0.196 0.196 0.586
F 0.196 0.586 0.196
F 0.407 0.407 0.863
F 0.407 0.863 0.407
F 0.414 0.804 0.804
F 0.586 0.196 0.196
F 0.593 0.137 0.593
F 0.593 0.593 0.137
F 0.804 0.414 0.804
F 0.804 0.804 0.414
F 0.863 0.407 0.407

V: 17.25 Å³/atom
N(E_F): 4.4 states/eV/f.u.
Raw total energy: -5.7464 eV per atom
Spin magnetization: 0.389 μB/atom



4.
The following is a DFT calculation (PBE with a Hubbard U) of crystalline Rb3Ca2VF9 at its relaxed geometry.

abc: 6.258 6.258 7.675
angles: 90.00 90.00 120.00
Element x y z (fractional)
Rb 0.000 0.000 0.000
Rb 0.333 0.667 0.664
Rb 0.667 0.333 0.336
Ca 0.333 0.667 0.174
Ca 0.667 0.333 0.826
V 0.000 0.000 0.500
F 0.000 0.500 0.000
F 0.161 0.323 0.341
F 0.161 0.839 0.341
F 0.323 0.161 0.659
F 0.500 0.000 0.000
F 0.500 0.500 0.000
F 0.677 0.839 0.341
F 0.839 0.161 0.659
F 0.839 0.677 0.659

V: 17.35 Å³/atom
N(E_F): 0.0 states/eV/f.u.
Raw total energy: -5.3147 eV per atom
Spin magnetization: 0.200 μB/atom



5.
The following is a DFT calculation (PBE with a Hubbard U) of crystalline RbCaWF2 at its relaxed geometry.

abc: 5.036 5.036 6.102
angles: 90.00 90.00 90.00
Element x y z (fractional)
Rb 0.000 0.000 0.000
Ca 0.500 0.500 0.500
W 0.000 0.000 0.500
F 0.000 0.500 0.000
F 0.500 0.000 0.000

V: 30.96 Å³/atom
N(E_F): 0.6 states/eV/f.u.
Raw total energy: -3.2751 eV per atom
Spin magnetization: 1.008 μB/atom